one.
Below is a PBEsol-optimized structure of BaRe2Tc, with properties calculated at the SCAN level.

Structure (POSCAR):
```
BaRe2Tc
1.0
2.880 0.000 0.000
0.000 2.880 0.000
0.000 0.000 9.003
Re Tc Ba
2 1 1
direct
0.000 0.000 0.191
0.000 0.000 0.809
0.500 0.500 0.000
0.500 0.500 0.500
```

Computed properties:
N(E_F): 0.91 states/eV/atom
Total magnetization: 0.00 μB/f.u.

---

two.
Below is a PBEsol-optimized structure of BaRe2Tc, with properties calculated at the SCAN level.

Structure (POSCAR):
```
BaRe2Tc
1.0
3.158 0.000 0.000
0.000 3.158 0.000
0.000 0.000 8.001
Tc Re Ba
1 2 1
direct
0.000 0.000 0.417
0.000 0.000 0.080
0.500 0.500 0.252
0.500 0.500 0.752
```

Computed properties:
N(E_F): 0.77 states/eV/atom
Total magnetization: 0.00 μB/f.u.

---

Relative energy table, unit meV/atom: one 194; two 0

---

one.
Below is a PBEsol-optimized structure of BaReTe3, with properties calculated at the SCAN level.

Structure (POSCAR):
```
BaReTe3
1.0
-5.203 -1.326 3.213
3.454 -1.323 5.048
-0.391 5.971 1.832
Re Ba Te
1 1 3
direct
0.500 0.500 0.500
0.000 0.000 0.000
0.500 0.000 0.000
0.000 0.500 0.000
0.000 0.000 0.500
```

Computed properties:
N(E_F): 0.75 states/eV/atom
Total magnetization: 3.00 μB/f.u.

---

two.
Below is a PBEsol-optimized structure of BaReTe3, with properties calculated at the SCAN level.

Structure (POSCAR):
```
BaReTe3
1.0
-1.839 -3.974 3.099
-1.176 -2.870 -4.377
4.900 -2.180 0.112
Te Re Ba
3 1 1
direct
0.500 0.000 0.000
0.000 0.500 0.000
0.000 0.000 0.500
0.000 0.000 0.000
0.500 0.500 0.500
```

Computed properties:
N(E_F): 0.62 states/eV/atom
Total magnetization: 3.27 μB/f.u.

---

Relative energy table, unit meV/atom: one 1800; two 0

---

one.
Below is a PBEsol-optimized structure of Ba5Rh, with properties calculated at the SCAN level.

Structure (POSCAR):
```
Ba5Rh
1.0
4.358 0.000 0.000
0.000 6.425 0.000
-2.179 0.000 9.859
Ba Rh
5 1
direct
0.517 0.500 0.035
0.730 0.500 0.461
0.644 0.000 0.289
0.326 0.000 0.652
0.996 0.000 0.992
0.119 0.500 0.239
```

Computed properties:
N(E_F): 1.23 states/eV/atom
Total magnetization: 0.04 μB/f.u.

---

two.
Below is a PBEsol-optimized structure of Ba5Rh, with properties calculated at the SCAN level.

Structure (POSCAR):
```
Ba5Rh
1.0
4.045 0.000 0.000
2.022 7.174 0.003
2.022 3.160 9.569
Rh Ba
1 5
direct
0.000 0.000 0.000
0.611 0.670 0.107
0.331 0.063 0.276
0.669 0.937 0.724
0.000 0.500 0.500
0.389 0.330 0.893
```

Computed properties:
N(E_F): 1.05 states/eV/atom
Total magnetization: 0.27 μB/f.u.

---

Relative energy table, unit meV/atom: one 113; two 0

---

one.
Below is a PBEsol-optimized structure of BaRuRh3, with properties calculated at the SCAN level.

Structure (POSCAR):
```
BaRuRh3
1.0
4.867 0.000 0.000
0.000 4.867 0.000
0.000 0.000 4.867
Rh Ru Ba
3 1 1
direct
0.500 0.000 0.000
0.000 0.500 0.000
0.000 0.000 0.500
0.500 0.500 0.500
0.000 0.000 0.000
```

Computed properties:
N(E_F): 1.16 states/eV/atom
Total magnetization: 3.60 μB/f.u.

---

two.
Below is a PBEsol-optimized structure of BaRuRh3, with properties calculated at the SCAN level.

Structure (POSCAR):
```
BaRuRh3
1.0
-2.654 0.458 -3.883
-3.340 -2.704 1.964
-2.032 3.848 1.842
Rh Ba Ru
3 1 1
direct
0.000 0.000 0.500
0.000 0.500 0.000
0.500 0.000 0.000
0.500 0.500 0.500
0.000 0.000 0.000
```

Computed properties:
N(E_F): 0.76 states/eV/atom
Total magnetization: 0.00 μB/f.u.

---

Relative energy table, unit meV/atom: one 1857; two 0